Here is a relaxed structure of HoSc2Cd4 from Alexandria. Energies are from PBE.

Geometry as POSCAR:
```
HoSc2Cd4
1.0
0.9627 3.3643 -5.0766
3.6193 -4.9824 -0.3061
-5.9910 -1.4414 0.2182
Cd Ho Sc
4 1 2
Direct
0.5000 0.5000 0.5000 Cd
0.0000 0.0000 0.5000 Cd
0.5000 0.0000 0.0000 Cd
0.0000 0.5000 0.0000 Cd
0.0000 0.0000 0.0000 Ho
0.5000 0.5000 0.0000 Sc
0.5000 0.0000 0.5000 Sc
```

Output
Symmetry: I4/mmm (139)
DFT formation energy (eV per atom): -0.1619
Fermi-level density of states (states/eV/atom): 0.41